Record 1
Density functional theory data (GGA-PBE) for a relaxed Mo3HSe crystal.

Structure (CIF):
```
data_Mo3HSe
_chemical_formula_sum 'Mo3 H1 Se1'
_symmetry_space_group_name_H-M 'P m -3 m'
_symmetry_Int_Tables_number 221
_symmetry_space_group_name_Hall '-P 4 2 3'
_cell_length_a 4.0476
_cell_length_b 4.0476
_cell_length_c 4.0476
_cell_angle_alpha 90.00
_cell_angle_beta 90.00
_cell_angle_gamma 90.00
loop_
_atom_site_label
_atom_site_type_symbol
_atom_site_fract_x
_atom_site_fract_y
_atom_site_fract_z
Mo1 Mo 0.0000 0.0000 0.5000
H1 H 0.0000 0.0000 0.0000
Se1 Se 0.5000 0.5000 0.5000
```

Properties
Crystal system: cubic
Theoretical density: 9.21 g/cm3
VASP energy: -7.370 eV/atom
Density of states at the Fermi level: 7.11 states/eV/f.u.
Energy above the lowest structure with this stoichiometry: 0 meV/atom

---

Record 2
Density functional theory data (GGA-PBE) for a relaxed Ba3Hg8Bi3 crystal.

Structure (CIF):
```
data_Ba3Hg8Bi3
_chemical_formula_sum 'Ba6 Hg16 Bi6'
_symmetry_space_group_name_H-M 'C 1 2/m 1'
_symmetry_Int_Tables_number 12
_symmetry_space_group_name_Hall '-C 2y'
_cell_length_a 18.8030
_cell_length_b 5.1746
_cell_length_c 11.1024
_cell_angle_alpha 90.00
_cell_angle_beta 124.15
_cell_angle_gamma 90.00
loop_
_atom_site_label
_atom_site_type_symbol
_atom_site_fract_x
_atom_site_fract_y
_atom_site_fract_z
Ba1 Ba 0.0000 0.0000 0.0000
Ba2 Ba 0.1803 0.5000 0.6763
Hg1 Hg 0.0068 0.5000 0.2872
Hg2 Hg 0.1301 0.0000 0.3926
Hg3 Hg 0.1462 0.0000 0.8601
Hg4 Hg 0.1854 0.5000 0.3327
Bi1 Bi 0.0000 0.0000 0.5000
Bi2 Bi 0.1563 0.5000 0.0371
```

Properties
Crystal system: monoclinic
Theoretical density: 9.82 g/cm3
VASP energy: -1.835 eV/atom
Density of states at the Fermi level: 5.50 states/eV/f.u.
Energy relative to the elements: -565 kJ/mol of formula units
Energy above the lowest structure with this stoichiometry: 0 meV/atom

---

Record 3
Density functional theory data (GGA-PBE) for a relaxed MgZnInNi2 crystal.

Structure (CIF):
```
data_MgZnInNi2
_chemical_formula_sum 'Mg1 Zn1 In1 Ni2'
_symmetry_space_group_name_H-M 'P 4/m m m'
_symmetry_Int_Tables_number 123
_symmetry_space_group_name_Hall '-P 4 2'
_cell_length_a 4.4877
_cell_length_b 4.4877
_cell_length_c 4.7954
_cell_angle_alpha 90.00
_cell_angle_beta 90.00
_cell_angle_gamma 90.00
loop_
_atom_site_label
_atom_site_type_symbol
_atom_site_fract_x
_atom_site_fract_y
_atom_site_fract_z
Mg1 Mg 0.0000 0.0000 0.0000
Zn1 Zn 0.5000 0.5000 0.5000
In1 In 0.5000 0.5000 0.0000
Ni1 Ni 0.0000 0.5000 0.5000
```

Properties
Crystal system: tetragonal
Theoretical density: 5.54 g/cm3
VASP energy: -2.895 eV/atom
Density of states at the Fermi level: 3.50 states/eV/f.u.
Energy relative to the elements: 260 kJ/mol of formula units

---

Record 4
Density functional theory data (GGA-PBE) for a relaxed TcPH2 crystal.

Structure (CIF):
```
data_TcPH2
_chemical_formula_sum 'Tc2 P2 H4'
_symmetry_space_group_name_H-M 'I 4 m m'
_symmetry_Int_Tables_number 107
_symmetry_space_group_name_Hall 'I 4 -2'
_cell_length_a 3.0243
_cell_length_b 3.0243
_cell_length_c 7.8566
_cell_angle_alpha 90.00
_cell_angle_beta 90.00
_cell_angle_gamma 90.00
loop_
_atom_site_label
_atom_site_type_symbol
_atom_site_fract_x
_atom_site_fract_y
_atom_site_fract_z
Tc1 Tc 0.0000 0.0000 0.0000
P1 P 0.0000 0.0000 0.6641
H1 H 0.0000 0.5000 0.3820
```

Properties
Crystal system: tetragonal
Theoretical density: 6.05 g/cm3
VASP energy: -5.731 eV/atom
Density of states at the Fermi level: 0.20 states/eV/f.u.
Energy above the lowest structure with this stoichiometry: 33 meV/atom

---

Record 5
Density functional theory data (GGA-PBE) for a relaxed TlGa crystal.

Structure (CIF):
```
data_TlGa
_chemical_formula_sum 'Tl8 Ga8'
_symmetry_space_group_name_H-M 'C m c m'
_symmetry_Int_Tables_number 63
_symmetry_space_group_name_Hall '-C 2c 2'
_cell_length_a 9.6542
_cell_length_b 6.9284
_cell_length_c 6.1302
_cell_angle_alpha 90.00
_cell_angle_beta 90.00
_cell_angle_gamma 90.00
loop_
_atom_site_label
_atom_site_type_symbol
_atom_site_fract_x
_atom_site_fract_y
_atom_site_fract_z
Tl1 Tl 0.1840 0.1685 0.2500
Ga1 Ga 0.0000 0.1875 0.7500
Ga2 Ga 0.0000 0.5000 0.0000
```

Properties
Crystal system: orthorhombic
Theoretical density: 8.88 g/cm3
VASP energy: -2.633 eV/atom
Density of states at the Fermi level: 0.78 states/eV/f.u.
Energy relative to the elements: 12 kJ/mol of formula units

---

Record 6
Density functional theory data (GGA-PBE) for a relaxed Pu2HgPd3 crystal.

Structure (CIF):
```
data_Pu2HgPd3
_chemical_formula_sum 'Pu4 Hg2 Pd6'
_symmetry_space_group_name_H-M 'P 63/m m c'
_symmetry_Int_Tables_number 194
_symmetry_space_group_name_Hall '-P 6c 2c'
_cell_length_a 5.6414
_cell_length_b 5.6414
_cell_length_c 8.8536
_cell_angle_alpha 90.00
_cell_angle_beta 90.00
_cell_angle_gamma 120.00
loop_
_atom_site_label
_atom_site_type_symbol
_atom_site_fract_x
_atom_site_fract_y
_atom_site_fract_z
Pu1 Pu 0.3333 0.6667 0.0707
Hg1 Hg 0.0000 0.0000 0.0000
Pd1 Pd 0.1729 0.3457 0.7500
```

Properties
Crystal system: hexagonal
Theoretical density: 13.72 g/cm3
VASP energy: -7.869 eV/atom
Density of states at the Fermi level: 19.06 states/eV/f.u.
Energy relative to the elements: -258 kJ/mol of formula units
Energy above the lowest structure with this stoichiometry: 0 meV/atom

---

Record 7
Density functional theory data (GGA-PBE) for a relaxed SrPmSn4 crystal.

Structure (CIF):
```
data_SrPmSn4
_chemical_formula_sum 'Sr4 Pm4 Sn16'
_symmetry_space_group_name_H-M 'F -4 3 m'
_symmetry_Int_Tables_number 216
_symmetry_space_group_name_Hall 'F -4 2 3'
_cell_length_a 8.9231
_cell_length_b 8.9231
_cell_length_c 8.9231
_cell_angle_alpha 90.00
_cell_angle_beta 90.00
_cell_angle_gamma 90.00
loop_
_atom_site_label
_atom_site_type_symbol
_atom_site_fract_x
_atom_site_fract_y
_atom_site_fract_z
Sr1 Sr 0.0000 0.0000 0.0000
Pm1 Pm 0.2500 0.2500 0.7500
Sn1 Sn 0.1244 0.1244 0.3756
```

Properties
Crystal system: cubic
Theoretical density: 6.61 g/cm3
VASP energy: -4.119 eV/atom
Density of states at the Fermi level: 6.49 states/eV/f.u.
Energy relative to the elements: -219 kJ/mol of formula units

---

Record 8
Density functional theory data (GGA-PBE) for a relaxed Cd3OsRh crystal.

Structure (CIF):
```
data_Cd3OsRh
_chemical_formula_sum 'Cd3 Os1 Rh1'
_symmetry_space_group_name_H-M 'P m -3 m'
_symmetry_Int_Tables_number 221
_symmetry_space_group_name_Hall '-P 4 2 3'
_cell_length_a 5.1142
_cell_length_b 5.1142
_cell_length_c 5.1142
_cell_angle_alpha 90.00
_cell_angle_beta 90.00
_cell_angle_gamma 90.00
loop_
_atom_site_label
_atom_site_type_symbol
_atom_site_fract_x
_atom_site_fract_y
_atom_site_fract_z
Cd1 Cd 0.0000 0.0000 0.5000
Os1 Os 0.0000 0.0000 0.0000
Rh1 Rh 0.5000 0.5000 0.5000
```

Properties
Crystal system: cubic
Theoretical density: 7.83 g/cm3
VASP energy: -2.921 eV/atom
Density of states at the Fermi level: 5.60 states/eV/f.u.
Energy relative to the elements: 649 kJ/mol of formula units
Energy above the lowest structure with this stoichiometry: 0 meV/atom

---

Record 9
Density functional theory data (GGA-PBE) for a relaxed KGa crystal.

Structure (CIF):
```
data_KGa
_chemical_formula_sum 'K4 Ga4'
_symmetry_space_group_name_H-M 'F -4 3 m'
_symmetry_Int_Tables_number 216
_symmetry_space_group_name_Hall 'F -4 2 3'
_cell_length_a 7.6372
_cell_length_b 7.6372
_cell_length_c 7.6372
_cell_angle_alpha 90.00
_cell_angle_beta 90.00
_cell_angle_gamma 90.00
loop_
_atom_site_label
_atom_site_type_symbol
_atom_site_fract_x
_atom_site_fract_y
_atom_site_fract_z
K1 K 0.0000 0.0000 0.0000
Ga1 Ga 0.2500 0.2500 0.7500
```

Properties
Crystal system: cubic
Theoretical density: 1.62 g/cm3
VASP energy: -1.360 eV/atom
Density of states at the Fermi level: 1.12 states/eV/f.u.
Energy relative to the elements: 135 kJ/mol of formula units
Energy above the lowest structure with this stoichiometry: 808 meV/atom

---

Record 10
Density functional theory data (GGA-PBE) for a relaxed YHo3 crystal.

Structure (CIF):
```
data_YHo3
_chemical_formula_sum 'Y1 Ho3'
_symmetry_space_group_name_H-M 'P m -3 m'
_symmetry_Int_Tables_number 221
_symmetry_space_group_name_Hall '-P 4 2 3'
_cell_length_a 5.0031
_cell_length_b 5.0031
_cell_length_c 5.0031
_cell_angle_alpha 90.00
_cell_angle_beta 90.00
_cell_angle_gamma 90.00
loop_
_atom_site_label
_atom_site_type_symbol
_atom_site_fract_x
_atom_site_fract_y
_atom_site_fract_z
Y1 Y 0.0000 0.0000 0.0000
Ho1 Ho 0.0000 0.5000 0.5000
```

Properties
Crystal system: cubic
Theoretical density: 7.74 g/cm3
VASP energy: -5.025 eV/atom
Density of states at the Fermi level: 5.96 states/eV/f.u.
Energy relative to the elements: 9 kJ/mol of formula units
Energy above the lowest structure with this stoichiometry: 22 meV/atom

---

Record 11
Density functional theory data (GGA-PBE) for a relaxed La3YAu crystal.

Structure (CIF):
```
data_La3YAu
_chemical_formula_sum 'La3 Y1 Au1'
_symmetry_space_group_name_H-M 'P m -3 m'
_symmetry_Int_Tables_number 221
_symmetry_space_group_name_Hall '-P 4 2 3'
_cell_length_a 5.8477
_cell_length_b 5.8477
_cell_length_c 5.8477
_cell_angle_alpha 90.00
_cell_angle_beta 90.00
_cell_angle_gamma 90.00
loop_
_atom_site_label
_atom_site_type_symbol
_atom_site_fract_x
_atom_site_fract_y
_atom_site_fract_z
La1 La 0.0000 0.0000 0.5000
Y1 Y 0.5000 0.5000 0.5000
Au1 Au 0.0000 0.0000 0.0000
```

Properties
Crystal system: cubic
Theoretical density: 5.83 g/cm3
VASP energy: -4.885 eV/atom
Density of states at the Fermi level: 14.14 states/eV/f.u.
Energy relative to the elements: 9 kJ/mol of formula units
Energy above the lowest structure with this stoichiometry: 0 meV/atom

---

Record 12
Density functional theory data (GGA-PBE) for a relaxed Ti2As2Pb crystal.

Structure (CIF):
```
data_Ti2As2Pb
_chemical_formula_sum 'Ti4 As4 Pb2'
_symmetry_space_group_name_H-M 'I 4/m m m'
_symmetry_Int_Tables_number 139
_symmetry_space_group_name_Hall '-I 4 2'
_cell_length_a 4.7007
_cell_length_b 4.7007
_cell_length_c 9.1800
_cell_angle_alpha 90.00
_cell_angle_beta 90.00
_cell_angle_gamma 90.00
loop_
_atom_site_label
_atom_site_type_symbol
_atom_site_fract_x
_atom_site_fract_y
_atom_site_fract_z
Ti1 Ti 0.0000 0.5000 0.2500
As1 As 0.0000 0.0000 0.1375
Pb1 Pb 0.0000 0.0000 0.5000
```

Properties
Crystal system: tetragonal
Theoretical density: 7.41 g/cm3
VASP energy: -6.168 eV/atom
Density of states at the Fermi level: 2.85 states/eV/f.u.
Energy relative to the elements: -197 kJ/mol of formula units
Energy above the lowest structure with this stoichiometry: 4 meV/atom